No. 1
## Bi4Pt2Au3 (PBE)

Data for a geometry-optimized Bi4Pt2Au3 structure.

Summary:
DFT formation energy = -0.11 eV/atom

a = 15.6464 Å, b = 4.2035 Å, c = 6.9512 Å
α = 90.00°, β = 110.11°, γ = 90.00°
Space group C2/m (No. 12)
Asymmetric unit:
1 Bi 0.0738 0.0000 0.3497 (multiplicity 4)
2 Bi 0.2332 0.5000 0.1860 (multiplicity 4)
3 Pt 0.1173 0.0000 0.9657 (multiplicity 4)
4 Au 0.0000 0.5000 0.0000 (multiplicity 2)
5 Au 0.0908 0.5000 0.6684 (multiplicity 4)

---

No. 2
## Bi2PtAu (PBE)

Data for a geometry-optimized Bi2PtAu structure.

Summary:
DFT formation energy = -0.09 eV/atom

a = 4.2656 Å, b = 4.2656 Å, c = 19.5610 Å
α = 90.00°, β = 90.00°, γ = 120.00°
Space group R3m (No. 160, hexagonal axes)
Asymmetric unit:
1 Bi 0.0000 0.0000 0.0000 (multiplicity 3)
2 Bi 0.0000 0.0000 0.1879 (multiplicity 3)
3 Pt 0.0000 0.0000 0.5978 (multiplicity 3)
4 Au 0.0000 0.0000 0.7584 (multiplicity 3)

---

No. 3
## Bi2Pt2Au (PBE)

Data for a geometry-optimized Bi2Pt2Au structure.

Summary:
ΔE to the lowest computed polymorph = 0.200 eV per atom
DFT formation energy = 0.08 eV/atom

a = 8.0518 Å, b = 8.0518 Å, c = 3.4809 Å
α = 90.00°, β = 90.00°, γ = 90.00°
Space group P4/mbm (No. 127)
Asymmetric unit:
1 Bi 0.1720 0.3280 0.0000 (multiplicity 4)
2 Pt 0.1249 0.6249 0.5000 (multiplicity 4)
3 Au 0.0000 0.0000 0.0000 (multiplicity 2)

---

No. 4
## BiPt4Au (PBE)

Data for a geometry-optimized BiPt4Au structure.

Summary:
DFT formation energy = 0.00 eV/atom

a = 7.6412 Å, b = 7.6412 Å, c = 7.6412 Å
α = 90.00°, β = 90.00°, γ = 90.00°
Space group F-43m (No. 216)
Asymmetric unit:
1 Bi 0.0000 0.0000 0.0000 (multiplicity 4)
2 Pt 0.1246 0.1246 0.3754 (multiplicity 16)
3 Au 0.2500 0.2500 0.7500 (multiplicity 4)

---

No. 5
## Bi2PtAu (PBE)

Data for a geometry-optimized Bi2PtAu structure.

Summary:
DFT formation energy = 0.06 eV/atom

a = 7.6886 Å, b = 7.6886 Å, c = 6.8511 Å
α = 90.00°, β = 90.00°, γ = 90.00°
Space group I-42d (No. 122)
Asymmetric unit:
1 Bi 0.2340 0.2500 0.1250 (multiplicity 8)
2 Pt 0.0000 0.0000 0.0000 (multiplicity 4)
3 Au 0.0000 0.0000 0.5000 (multiplicity 4)

---

No. 6
## Bi4PtAu (PBE)

Data for a geometry-optimized Bi4PtAu structure.

Summary:
ΔE to the lowest computed polymorph = 0.000 eV per atom
DFT formation energy = -0.14 eV/atom

a = 6.9437 Å, b = 6.9397 Å, c = 6.9345 Å
α = 90.00°, β = 90.33°, γ = 90.00°
Space group P2_1/c (No. 14)
Asymmetric unit:
1 Bi 0.1202 0.1329 0.1346 (multiplicity 4)
2 Bi 0.3633 0.6260 0.1224 (multiplicity 4)
3 Pt 0.0000 0.0000 0.5000 (multiplicity 2)
4 Au 0.5000 0.0000 0.0000 (multiplicity 2)

---

No. 7
## Bi2PtAu (PBE)

Data for a geometry-optimized Bi2PtAu structure.

Summary:
DFT formation energy = -0.12 eV/atom

a = 8.5462 Å, b = 15.4266 Å, c = 5.9615 Å
α = 90.00°, β = 90.00°, γ = 90.00°
Space group Cmce (No. 64)
Asymmetric unit:
1 Bi 0.0000 0.0561 0.2498 (multiplicity 8)
2 Bi 0.2500 0.1368 0.7500 (multiplicity 8)
3 Pt 0.2500 0.1746 0.2500 (multiplicity 8)
4 Au 0.0000 0.2504 0.0007 (multiplicity 8)

---

No. 8
## Bi2Pt2Au (PBE)

Data for a geometry-optimized Bi2Pt2Au structure.

Summary:
ΔE to the lowest computed polymorph = 0.080 eV per atom
DFT formation energy = -0.04 eV/atom

a = 3.8843 Å, b = 3.8843 Å, c = 15.5246 Å
α = 90.00°, β = 90.00°, γ = 90.00°
Space group I4/mmm (No. 139)
Asymmetric unit:
1 Bi 0.0000 0.0000 0.1152 (multiplicity 4)
2 Pt 0.0000 0.5000 0.2500 (multiplicity 4)
3 Au 0.0000 0.0000 0.5000 (multiplicity 2)

---

No. 9
## BiPt3Au (PBE)

Data for a geometry-optimized BiPt3Au structure.

Summary:
ΔE to the lowest computed polymorph = 0.209 eV per atom
DFT formation energy = 1.22 eV/atom

a = 5.0534 Å, b = 5.0534 Å, c = 5.0534 Å
α = 90.00°, β = 90.00°, γ = 90.00°
Space group Pm-3m (No. 221)
Asymmetric unit:
1 Bi 0.0000 0.0000 0.0000 (multiplicity 1)
2 Pt 0.0000 0.0000 0.5000 (multiplicity 3)
3 Au 0.5000 0.5000 0.5000 (multiplicity 1)

---

No. 10
## Bi2PtAu (PBE)

Data for a geometry-optimized Bi2PtAu structure.

Summary:
DFT formation energy = -0.11 eV/atom

a = 4.1153 Å, b = 4.1153 Å, c = 20.6821 Å
α = 90.00°, β = 90.00°, γ = 120.00°
Space group R-3m (No. 166, hexagonal axes)
Asymmetric unit:
1 Bi 0.0000 0.0000 0.2412 (multiplicity 6)
2 Pt 0.0000 0.0000 0.5000 (multiplicity 3)
3 Au 0.0000 0.0000 0.0000 (multiplicity 3)

---

No. 11
## Bi2PtAu2 (PBE)

Data for a geometry-optimized Bi2PtAu2 structure.

Summary:
ΔE to the lowest computed polymorph = 0.000 eV per atom
DFT formation energy = 0.05 eV/atom

a = 7.3330 Å, b = 7.3330 Å, c = 4.2377 Å
α = 90.00°, β = 90.00°, γ = 90.00°
Space group P4/mbm (No. 127)
Asymmetric unit:
1 Bi 0.1730 0.3270 0.0000 (multiplicity 4)
2 Pt 0.0000 0.0000 0.5000 (multiplicity 2)
3 Au 0.1374 0.6374 0.5000 (multiplicity 4)

---

No. 12
## Bi6PtAu2 (PBE)

Data for a geometry-optimized Bi6PtAu2 structure.

Summary:
DFT formation energy = -0.06 eV/atom

a = 7.2284 Å, b = 7.2284 Å, c = 5.9122 Å
α = 90.00°, β = 90.00°, γ = 120.00°
Space group P-31m (No. 162)
Asymmetric unit:
1 Bi 0.0000 0.3567 0.2956 (multiplicity 6)
2 Pt 0.0000 0.0000 0.5000 (multiplicity 1)
3 Au 0.3333 0.6667 0.0000 (multiplicity 2)

---

No. 13
## Bi2PtAu2 (PBE)

Data for a geometry-optimized Bi2PtAu2 structure.

Summary:
ΔE to the lowest computed polymorph = 0.096 eV per atom
DFT formation energy = 0.15 eV/atom

a = 7.5581 Å, b = 7.5581 Å, c = 4.2427 Å
α = 90.00°, β = 90.00°, γ = 90.00°
Space group P4/mbm (No. 127)
Asymmetric unit:
1 Bi 0.1742 0.3258 0.0000 (multiplicity 4)
2 Pt 0.0000 0.0000 0.0000 (multiplicity 2)
3 Au 0.1334 0.6334 0.5000 (multiplicity 4)

---

No. 14
## Bi2Pt2Au (PBE)

Data for a geometry-optimized Bi2Pt2Au structure.

Summary:
ΔE to the lowest computed polymorph = 0.129 eV per atom
DFT formation energy = 0.01 eV/atom

a = 5.4524 Å, b = 5.4524 Å, c = 8.0571 Å
α = 90.00°, β = 90.00°, γ = 90.00°
Space group I4/mmm (No. 139)
Asymmetric unit:
1 Bi 0.0000 0.5000 0.2500 (multiplicity 4)
2 Pt 0.0000 0.0000 0.1578 (multiplicity 4)
3 Au 0.0000 0.0000 0.5000 (multiplicity 2)

---

No. 15
## Bi2PtAu (PBE)

Data for a geometry-optimized Bi2PtAu structure.

Summary:
DFT formation energy = -0.11 eV/atom

a = 6.9773 Å, b = 4.0362 Å, c = 13.6213 Å
α = 90.00°, β = 90.00°, γ = 90.00°
Space group Amm2 (No. 38)
Asymmetric unit:
1 Bi 0.0000 0.0000 0.0000 (multiplicity 2)
2 Bi 0.0000 0.0000 0.2513 (multiplicity 2)
3 Bi 0.5000 0.0000 0.1766 (multiplicity 2)
4 Bi 0.5000 0.0000 0.4710 (multiplicity 2)
5 Pt 0.2019 0.0000 0.6187 (multiplicity 4)
6 Au 0.2941 0.0000 0.8327 (multiplicity 4)

---

No. 16
## Bi2Pt2Au (PBE)

Data for a geometry-optimized Bi2Pt2Au structure.

Summary:
ΔE to the lowest computed polymorph = 0.000 eV per atom
DFT formation energy = -0.12 eV/atom

a = 7.4907 Å, b = 7.4907 Å, c = 3.8855 Å
α = 90.00°, β = 90.00°, γ = 90.00°
Space group P4/mbm (No. 127)
Asymmetric unit:
1 Bi 0.1655 0.3346 0.0000 (multiplicity 4)
2 Pt 0.1373 0.6373 0.5000 (multiplicity 4)
3 Au 0.0000 0.0000 0.5000 (multiplicity 2)

---

No. 17
## Bi8PtAu2 (PBE)

Data for a geometry-optimized Bi8PtAu2 structure.

Summary:
DFT formation energy = 0.06 eV/atom

a = 11.2979 Å, b = 8.3194 Å, c = 7.4924 Å
α = 90.00°, β = 98.91°, γ = 90.00°
Space group C2/m (No. 12)
Asymmetric unit:
1 Bi 0.1195 0.2190 0.3854 (multiplicity 8)
2 Bi 0.1401 0.0000 0.7550 (multiplicity 4)
3 Bi 0.1779 0.5000 0.8050 (multiplicity 4)
4 Pt 0.0000 0.5000 0.5000 (multiplicity 2)
5 Au 0.0948 0.5000 0.1445 (multiplicity 4)

---

No. 18
## Bi2PtAu (PBE)

Data for a geometry-optimized Bi2PtAu structure.

Summary:
DFT formation energy = -0.04 eV/atom

a = 3.4544 Å, b = 3.4544 Å, c = 7.7310 Å
α = 90.00°, β = 90.00°, γ = 90.00°
Space group P4/mmm (No. 123)
Asymmetric unit:
1 Bi 0.0000 0.0000 0.2333 (multiplicity 2)
2 Pt 0.5000 0.5000 0.0000 (multiplicity 1)
3 Au 0.5000 0.5000 0.5000 (multiplicity 1)

---

No. 19
## BiPt3Au (PBE)

Data for a geometry-optimized BiPt3Au structure.

Summary:
ΔE to the lowest computed polymorph = 0.000 eV per atom
DFT formation energy = 1.01 eV/atom

a = 4.9623 Å, b = 4.9623 Å, c = 4.9623 Å
α = 90.00°, β = 90.00°, γ = 90.00°
Space group Pm-3m (No. 221)
Asymmetric unit:
1 Bi 0.0000 0.0000 0.0000 (multiplicity 1)
2 Pt 0.0000 0.5000 0.5000 (multiplicity 3)
3 Au 0.5000 0.5000 0.5000 (multiplicity 1)

---

No. 20
## Bi2PtAu (PBE)

Data for a geometry-optimized Bi2PtAu structure.

Summary:
DFT formation energy = 0.01 eV/atom

a = 5.0127 Å, b = 5.0127 Å, c = 3.6526 Å
α = 90.00°, β = 90.00°, γ = 90.00°
Space group P4/mmm (No. 123)
Asymmetric unit:
1 Bi 0.0000 0.5000 0.0000 (multiplicity 2)
2 Pt 0.0000 0.0000 0.5000 (multiplicity 1)
3 Au 0.5000 0.5000 0.5000 (multiplicity 1)

---

No. 21
## PuBiPtAu (PBE)

Data for a geometry-optimized PuBiPtAu structure.

Summary:
DFT formation energy = -0.39 eV/atom

a = 7.1208 Å, b = 7.1208 Å, c = 7.1208 Å
α = 90.00°, β = 90.00°, γ = 90.00°
Space group F-43m (No. 216)
Asymmetric unit:
1 Pu 0.0000 0.0000 0.0000 (multiplicity 4)
2 Bi 0.0000 0.0000 0.5000 (multiplicity 4)
3 Pt 0.2500 0.2500 0.7500 (multiplicity 4)
4 Au 0.2500 0.2500 0.2500 (multiplicity 4)

---

No. 22
## BiPtRhAu (PBE)

Data for a geometry-optimized BiPtRhAu structure.

Summary:
DFT formation energy = 0.04 eV/atom

a = 6.6530 Å, b = 6.6530 Å, c = 6.6530 Å
α = 90.00°, β = 90.00°, γ = 90.00°
Space group F-43m (No. 216)
Asymmetric unit:
1 Bi 0.0000 0.0000 0.0000 (multiplicity 4)
2 Pt 0.2500 0.2500 0.7500 (multiplicity 4)
3 Rh 0.2500 0.2500 0.2500 (multiplicity 4)
4 Au 0.0000 0.0000 0.5000 (multiplicity 4)

---

No. 23
## Bi2Sb2Pt7Au (PBE)

Data for a geometry-optimized Bi2Sb2Pt7Au structure.

Summary:
raw formation energy = -2.57 eV per formula unit

a = 5.6895 Å, b = 5.6851 Å, c = 16.3285 Å
α = 90.00°, β = 100.00°, γ = 90.00°
Space group C2/m (No. 12)
Asymmetric unit:
1 Bi 0.2139 0.0000 0.4268 (multiplicity 4)
2 Sb 0.1188 0.5000 0.2356 (multiplicity 4)
3 Pt 0.0000 0.5000 0.0000 (multiplicity 2)
4 Pt 0.1842 0.2500 0.8705 (multiplicity 8)
5 Pt 0.1997 0.5000 0.3984 (multiplicity 4)
6 Au 0.0000 0.0000 0.0000 (multiplicity 2)

---

No. 24
## Sc2BiPtAu (PBE)

Data for a geometry-optimized Sc2BiPtAu structure.

Summary:
DFT formation energy = 0.67 eV/atom

a = 5.4077 Å, b = 5.4077 Å, c = 5.1224 Å
α = 90.00°, β = 90.00°, γ = 90.00°
Space group P4/mmm (No. 123)
Asymmetric unit:
1 Sc 0.0000 0.5000 0.0000 (multiplicity 2)
2 Bi 0.0000 0.0000 0.0000 (multiplicity 1)
3 Pt 0.5000 0.5000 0.5000 (multiplicity 1)
4 Au 0.0000 0.0000 0.5000 (multiplicity 1)

---

No. 25
## ScBiPtAu (PBE)

Data for a geometry-optimized ScBiPtAu structure.

Summary:
DFT formation energy = -0.54 eV/atom

a = 6.9087 Å, b = 6.9087 Å, c = 6.9087 Å
α = 90.00°, β = 90.00°, γ = 90.00°
Space group F-43m (No. 216)
Asymmetric unit:
1 Sc 0.0000 0.0000 0.0000 (multiplicity 4)
2 Bi 0.0000 0.0000 0.5000 (multiplicity 4)
3 Pt 0.2500 0.2500 0.2500 (multiplicity 4)
4 Au 0.2500 0.2500 0.7500 (multiplicity 4)